Entry from the Alexandria database: a geometry-optimized TaAlO2F structure (PBE).

a b c (Å): 3.866 3.866 3.556
angles (deg): 90.00 90.00 90.00
Each line ends with the local moment (μB).
Atoms (fractional coordinates):
F: 0.000 0.000 0.500  0.07
Ta: 0.500 0.500 0.500  2.00
Al: 0.000 0.000 0.000  0.00
O: 0.000 0.500 0.000  0.00
O: 0.500 0.000 0.000  0.00

M_tot	0.554	μB per atom
theoretical density	8089	kg/m³
VASP energy	-6.9124	eV per atom
ΔE_f (raw)	-7.18	eV/f.u.


Entry from the Alexandria database: a geometry-optimized K2Si2F structure (PBE).

a b c (Å): 6.621 6.621 5.837
angles (deg): 55.45 55.45 90.00
Atoms (fractional coordinates):
Si: 0.656 0.656 0.688
Si: 0.344 0.344 0.312
K: 0.250 0.750 0.500
K: 0.750 0.250 0.500
F: 0.000 0.000 0.000

M_tot	0.000	μB per atom
theoretical density	1666	kg/m³
VASP energy	-3.2369	eV per atom
ΔE_f (raw)	-1.27	eV/f.u.


Entry from the Alexandria database: a geometry-optimized Zr2TaAlPd structure (PBE).

a b c (Å): 5.028 4.842 5.028
angles (deg): 90.00 90.00 90.00
Atoms (fractional coordinates):
Zr: 0.500 0.000 0.000
Zr: 0.000 0.000 0.500
Ta: 0.000 0.500 0.000
Al: 0.500 0.500 0.500
Pd: 0.000 0.000 0.000

M_tot	0.000	μB per atom
theoretical density	6738	kg/m³
formation energy from the elements	0.6824	eV/atom
VASP energy	-6.8944	eV per atom